(1)
Material: Tm2CuPb
Method: DFT, PBE-GGA
State: relaxed

Computed properties:
- SG = P2_1/m, No. 11
- final energy (eV per atom) = -4.53
- DOS at the Fermi energy (states/eV/f.u.) = 3.18
- formation enthalpy at 0 K (eV/atom) = -0.34

Geometry as POSCAR:
```
Tm2CuPb
1.0
4.408 0.000 0.000
0.000 6.065 -0.458
0.000 -2.707 7.563
Tm Cu Pb
4 2 2
Direct
0.750 0.252 0.441
0.250 0.748 0.559
0.750 0.684 0.907
0.250 0.316 0.093
0.750 0.634 0.295
0.250 0.366 0.705
0.750 0.117 0.787
0.250 0.883 0.213
```

(2)
Material: SnPPtO
Method: DFT, PBE-GGA
State: relaxed

Computed properties:
- formation energy from raw total energies (eV/atom) = -0.749
- relative energy among the computed polymorphs (eV/atom) = 0.0635
- SG = Cm, No. 8
- final energy (eV per atom) = -5.85
- DOS at the Fermi energy (states/eV/f.u.) = 1.21

Geometry as POSCAR:
```
SnPPtO
1.0
-2.814 -1.154 -4.470
2.325 -2.454 -0.830
-2.774 -4.645 5.964
Sn P Pt O
2 2 2 2
Direct
0.374 0.000 0.576
0.374 0.500 0.076
0.894 0.000 0.358
0.894 0.500 0.858
0.649 0.000 0.916
0.649 0.500 0.416
0.961 0.000 0.183
0.961 0.500 0.683
```

(3)
Material: BeTlW2
Method: DFT, PBE-GGA
State: relaxed

Computed properties:
- relative energy among the computed polymorphs (eV/atom) = 0.3500
- SG = I4/mmm, No. 139
- final energy (eV per atom) = -7.13
- DOS at the Fermi energy (states/eV/f.u.) = 2.73
- formation enthalpy at 0 K (eV/atom) = 0.87

Geometry as POSCAR:
```
BeTlW2
1.0
5.187 0.000 0.000
2.341 4.628 0.000
-3.764 -2.314 2.716
Be Tl W
1 1 2
Direct
0.250 0.750 0.500
0.750 0.250 0.500
0.000 0.000 0.000
0.500 0.500 0.000
```

(4)
Material: Cr2GaI
Method: DFT, PBE-GGA
State: relaxed

Computed properties:
- formation energy from raw total energies (eV/atom) = 1.009
- relative energy among the computed polymorphs (eV/atom) = 0.1868
- SG = I-42d, No. 122
- final energy (eV per atom) = -4.95
- DOS at the Fermi energy (states/eV/f.u.) = 4.31

Geometry as POSCAR:
```
Cr2GaI
1.0
4.120 0.000 0.000
0.000 4.120 0.000
2.060 2.060 8.716
I Cr Ga
2 4 2
Direct
0.000 0.000 0.000
0.750 0.250 0.500
0.530 0.125 0.250
0.220 0.625 0.250
0.375 0.470 0.750
0.875 0.780 0.750
0.500 0.500 0.000
0.250 0.750 0.500
```

(5)
Material: GdTiCo2
Method: DFT, PBE-GGA
State: relaxed

Computed properties:
- relative energy among the computed polymorphs (eV/atom) = 0.1398
- SG = P4/mmm, No. 123
- final energy (eV per atom) = -9.11
- DOS at the Fermi energy (states/eV/f.u.) = 2.63
- formation enthalpy at 0 K (eV/atom) = -0.07

Geometry as POSCAR:
```
GdTiCo2
1.0
3.121 0.000 0.000
0.000 4.532 0.000
0.000 0.000 4.532
Gd Co Ti
1 2 1
Direct
0.500 0.500 0.500
0.000 0.000 0.500
0.000 0.500 0.000
0.500 0.000 0.000
```

(6)
Material: SiNi2Pb
Method: DFT, PBE-GGA
State: relaxed

Computed properties:
- formation energy from raw total energies (eV/atom) = -0.095
- relative energy among the computed polymorphs (eV/atom) = 0.0351
- SG = Pm, No. 6
- final energy (eV per atom) = -5.27
- DOS at the Fermi energy (states/eV/f.u.) = 1.43

Geometry as POSCAR:
```
SiNi2Pb
1.0
3.099 0.000 0.000
0.000 3.332 0.118
0.000 1.448 6.461
Ni Pb Si
2 1 1
Direct
0.000 0.249 0.878
0.500 0.086 0.202
0.000 0.456 0.461
0.500 0.708 0.960
```

(7)
Material: ZrB2S4
Method: DFT, PBE-GGA
State: relaxed

Computed properties:
- formation energy from raw total energies (eV/atom) = -0.364
- SG = I4/m, No. 87
- final energy (eV per atom) = -5.85
- DOS at the Fermi energy (states/eV/f.u.) = 4.00

Geometry as POSCAR:
```
ZrB2S4
1.0
5.568 -0.272 0.000
-2.920 4.749 0.000
-1.324 -2.239 4.931
Zr B S
1 2 4
Direct
0.500 0.500 0.000
0.250 0.750 0.500
0.750 0.250 0.500
0.356 0.147 0.502
0.853 0.356 0.209
0.147 0.644 0.791
0.644 0.853 0.498
```

(8)
Material: TlHgPb2
Method: DFT, PBE-GGA
State: relaxed

Computed properties:
- SG = Pmmm, No. 47
- final energy (eV per atom) = -2.50
- DOS at the Fermi energy (states/eV/f.u.) = 1.82
- formation enthalpy at 0 K (eV/atom) = 0.02

Geometry as POSCAR:
```
TlHgPb2
1.0
-2.715 -2.016 -2.522
3.642 -3.799 -0.884
-1.831 -2.720 4.145
Pb Tl Hg
2 1 1
Direct
0.000 0.000 0.000
0.500 0.500 0.000
0.500 0.000 0.500
0.000 0.500 0.500
```

(9)
Material: Ce4TlCd3
Method: DFT, PBE-GGA
State: relaxed

Computed properties:
- relative energy among the computed polymorphs (eV/atom) = 0.0000
- SG = I4/mmm, No. 139
- final energy (eV per atom) = -3.79
- DOS at the Fermi energy (states/eV/f.u.) = 21.17
- formation enthalpy at 0 K (eV/atom) = -0.18

Geometry as POSCAR:
```
Ce4TlCd3
1.0
4.444 -0.001 -1.200
-0.318 4.438 -1.177
0.399 0.375 10.311
Tl Ce Cd
1 4 3
Direct
0.500 0.000 0.000
0.374 0.375 0.749
0.626 0.625 0.251
0.125 0.126 0.251
0.875 0.874 0.749
0.000 0.500 0.000
0.750 0.250 0.500
0.250 0.750 0.500
```

(10)
Material: Ho2MgH8
Method: DFT, PBE-GGA
State: relaxed

Computed properties:
- SG = Immm, No. 71
- final energy (eV per atom) = -3.89

Geometry as POSCAR:
```
Ho2MgH8
1.0
3.515 0.000 -1.070
-0.705 4.076 -2.315
-0.049 0.728 6.149
Ho Mg H
2 1 8
Direct
0.172 0.672 0.344
0.828 0.328 0.656
0.500 0.000 0.000
0.642 0.883 0.284
0.358 0.599 0.716
0.196 0.196 0.392
0.000 0.255 0.000
0.804 0.804 0.608
0.642 0.401 0.284
0.358 0.117 0.716
0.000 0.745 0.000
```

(11)
Material: V2FeRh
Method: DFT, PBE-GGA
State: relaxed

Computed properties:
- SG = P4/mmm, No. 123
- final energy (eV per atom) = -8.68
- DOS at the Fermi energy (states/eV/f.u.) = 5.24
- formation enthalpy at 0 K (eV/atom) = -0.16

Geometry as POSCAR:
```
V2FeRh
1.0
-2.935 1.119 -1.749
-0.067 -3.246 -1.964
-2.190 -1.571 2.671
Rh Fe V
1 1 2
Direct
0.500 0.500 0.500
0.500 0.000 0.000
0.000 0.000 0.500
0.000 0.500 0.000
```

(12)
Material: RbLiPb
Method: DFT, PBE-GGA
State: relaxed

Computed properties:
- relative energy among the computed polymorphs (eV/atom) = 0.0000
- SG = I4mm, No. 107
- final energy (eV per atom) = -2.30
- DOS at the Fermi energy (states/eV/f.u.) = 0.93
- formation enthalpy at 0 K (eV/atom) = -0.10

Geometry as POSCAR:
```
RbLiPb
1.0
3.949 0.000 0.000
0.000 3.949 0.000
-1.975 -1.975 6.745
Pb Rb Li
1 1 1
Direct
0.710 0.710 0.421
0.005 0.005 0.011
0.284 0.284 0.568
```